Record 1
The following is a PBE calculation of a relaxed CsCaBi2 crystal, from the Alexandria database.

Cell: 5.992 5.992 5.992 Å, 60.00 60.00 60.00°
Fractional coordinates of all 4 atoms:
Cs  0.500  0.500  0.500
Bi  0.750  0.750  0.750
Bi  0.250  0.250  0.250
Ca  0.000  0.000  0.000

Values from the calculation:
The density of states at the Fermi level is 3.20 states/eV/cell. The calculation puts the energy above the most stable polymorph in this dataset at 316 meV per atom. Its symmetry is Fm-3m, No. 225.



Record 2
The following is a PBE calculation of a relaxed PmPuAuO6 crystal, from the Alexandria database.

Cell: 5.894 5.894 8.853 Å, 90.00 90.00 120.00°
Last column: magnetic moment on the atom in μB.
Fractional coordinates of all 18 atoms:
Au  0.000  0.000  0.000  0.02
Au  0.000  0.000  0.500  0.02
O  0.044  0.377  0.629  0.06
O  0.044  0.667  0.871  0.06
O  0.667  0.623  0.129  0.06
O  0.623  0.667  0.629  0.06
O  0.956  0.333  0.129  0.06
O  0.623  0.956  0.871  0.06
O  0.667  0.044  0.371  0.06
O  0.377  0.333  0.371  0.06
O  0.377  0.044  0.129  0.06
O  0.333  0.377  0.871  0.06
O  0.956  0.623  0.371  0.06
O  0.333  0.956  0.629  0.06
Pu  0.667  0.333  0.250  -1.41
Pu  0.333  0.667  0.750  -1.41
Pm  0.667  0.333  0.750  0.00
Pm  0.333  0.667  0.250  0.00

Values from the calculation:
As for the energy relative to the elements, uncorrected: -1644 kJ/mol of formula units. The density of states at the Fermi level is 15.68 states/eV/cell. Its symmetry is P-31c, No. 163.



Record 3
The following is a PBE calculation of a relaxed LiGa2GeBr crystal, from the Alexandria database.

Cell: 5.553 5.306 5.553 Å, 90.00 90.00 90.00°
Fractional coordinates of all 5 atoms:
Ga  0.500  0.000  0.000
Ga  0.000  0.000  0.500
Li  0.500  0.500  0.500
Br  0.000  0.000  0.000
Ge  0.000  0.500  0.000

Values from the calculation:
As for the energy relative to the elements, uncorrected: 231 kJ/mol of formula units. The density of states at the Fermi level is 2.71 states/eV/cell. Its symmetry is P4/mmm, No. 123.



Record 4
The following is a PBE calculation of a relaxed TcPOs2 crystal, from the Alexandria database.

Cell: 3.960 2.822 5.144 Å, 75.35 90.00 90.00°
Fractional coordinates of all 4 atoms:
Os  0.000  0.862  0.765
Os  0.000  0.138  0.235
P  0.500  0.500  0.000
Tc  0.500  0.500  0.500

Values from the calculation:
The calculated total energy comes out at -9.519 eV/atom. The density of states at the Fermi level is 2.50 states/eV/cell. Its symmetry is P2/m, No. 10.



Record 5
The following is a PBE calculation of a relaxed Ti5Zn2Ir crystal, from the Alexandria database.

Cell: 6.498 6.498 7.717 Å, 114.90 114.90 90.00°
Fractional coordinates of all 16 atoms:
Ti  0.500  0.500  0.000
Ti  0.993  0.493  0.315
Ti  0.007  0.507  0.685
Ti  0.323  0.823  0.315
Ti  0.823  0.993  0.315
Ti  0.677  0.177  0.685
Ti  0.507  0.677  0.685
Ti  0.000  0.000  0.000
Ti  0.177  0.007  0.685
Ti  0.493  0.323  0.315
Ir  0.250  0.250  0.500
Ir  0.750  0.750  0.500
Zn  0.870  0.630  0.000
Zn  0.130  0.370  0.000
Zn  0.370  0.870  0.000
Zn  0.630  0.130  0.000

Values from the calculation:
The density of states at the Fermi level is 25.02 states/eV/cell. The calculation puts the energy above the most stable polymorph in this dataset at 137 meV per atom. Its symmetry is I4/mcm, No. 140.



Record 6
The following is a PBE calculation of a relaxed Ac2ThCd crystal, from the Alexandria database.

Cell: 5.882 5.882 5.882 Å, 60.00 60.00 60.00°
Last column: magnetic moment on the atom in μB.
Fractional coordinates of all 4 atoms:
Th  0.000  0.000  0.000  0.18
Ac  0.250  0.250  0.250  0.05
Ac  0.750  0.750  0.750  0.05
Cd  0.500  0.500  0.500  -0.01

Values from the calculation:
The density of states at the Fermi level is 6.21 states/eV/cell. The calculation puts the energy above the most stable polymorph in this dataset at 217 meV per atom. Its symmetry is Fm-3m, No. 225.



Record 7
The following is a PBE calculation of a relaxed LiPt2Br crystal, from the Alexandria database.

Cell: 4.825 4.825 8.053 Å, 91.60 91.60 32.38°
Fractional coordinates of all 4 atoms:
Li  0.229  0.229  0.176
Pt  0.649  0.649  0.907
Pt  0.915  0.915  0.965
Br  0.707  0.707  0.452

Values from the calculation:
As for the energy relative to the elements, uncorrected: -56 kJ/mol of formula units. The density of states at the Fermi level is 4.46 states/eV/cell. The calculation puts the energy above the most stable polymorph in this dataset at 85 meV per atom. Its symmetry is Cm, No. 8.



Record 8
The following is a PBE calculation of a relaxed Sm12HoBi6 crystal, from the Alexandria database.

Cell: 9.382 9.382 9.382 Å, 110.83 110.83 110.83°
Fractional coordinates of all 19 atoms:
Sm  0.799  0.670  0.531
Sm  0.729  0.102  0.192
Sm  0.330  0.469  0.201
Sm  0.201  0.330  0.469
Sm  0.271  0.898  0.808
Sm  0.670  0.531  0.799
Sm  0.469  0.201  0.330
Sm  0.531  0.799  0.670
Sm  0.898  0.808  0.271
Sm  0.102  0.192  0.729
Sm  0.808  0.271  0.898
Sm  0.192  0.729  0.102
Bi  0.573  0.353  0.076
Bi  0.924  0.427  0.647
Bi  0.076  0.573  0.353
Bi  0.353  0.076  0.573
Bi  0.647  0.924  0.427
Bi  0.427  0.647  0.924
Ho  0.000  0.000  0.000

Values from the calculation:
The calculated total energy comes out at -4.891 eV/atom. The density of states at the Fermi level is 17.85 states/eV/cell. Its symmetry is R-3, No. 148.



Record 9
The following is a PBE calculation of a relaxed ZrIn2Cu2 crystal, from the Alexandria database.

Cell: 7.564 7.564 3.214 Å, 90.00 90.00 90.00°
Fractional coordinates of all 10 atoms:
Cu  0.118  0.382  0.000
Cu  0.882  0.618  0.000
Cu  0.382  0.882  0.000
Cu  0.618  0.118  0.000
In  0.679  0.821  0.500
In  0.179  0.679  0.500
In  0.321  0.179  0.500
In  0.821  0.321  0.500
Zr  0.000  0.000  0.000
Zr  0.500  0.500  0.000

Values from the calculation:
The density of states at the Fermi level is 4.59 states/eV/cell. The calculation puts the energy above the most stable polymorph in this dataset at 0 meV per atom. Its symmetry is P4/mbm, No. 127.



Record 10
The following is a PBE calculation of a relaxed LiCePmRh crystal, from the Alexandria database.

Cell: 5.043 5.043 5.043 Å, 60.00 60.00 60.00°
Last column: magnetic moment on the atom in μB.
Fractional coordinates of all 4 atoms:
Li  0.000  0.000  0.000  0.01
Pm  0.750  0.750  0.750  0.03
Rh  0.500  0.500  0.500  -0.03
Ce  0.250  0.250  0.250  0.64

Values from the calculation:
The calculated total energy comes out at -5.268 eV/atom. The density of states at the Fermi level is 7.76 states/eV/cell. Its symmetry is F-43m, No. 216.